Record 1
Computed, not measured: an optimized crystal structure of LiReAg2 at the GGA-PBE level of DFT.

Summary:
Crystal system = orthorhombic
Total moment = 0.00 μB/cell
Calculated formation energy = 0.2949 eV per atom
Polymorph energy (0 for the lowest one) = 0.000 eV per atom

Cell: 2.709 2.709 9.675 Å, 90.00 90.00 114.59°
Atoms (fractional coordinates):
Re  0.500  0.500  0.740
Li  0.000  0.000  0.503
Ag  0.000  0.000  0.997
Ag  0.500  0.500  0.260

---

Record 2
Computed, not measured: an optimized crystal structure of AcInCuPd3 at the GGA-PBE level of DFT.

Summary:
Crystal system = orthorhombic
Total moment = 0.00 μB/cell
Calculated formation energy = -0.3658 eV per atom

Cell: 5.765 6.891 7.411 Å, 117.70 90.00 90.00°
Atoms (fractional coordinates):
Pd  0.000  0.306  0.000
Pd  0.000  0.694  0.000
Cu  0.750  0.638  0.276
Pd  0.750  0.838  0.676
Pd  0.250  0.162  0.324
Pd  0.500  0.306  0.000
Cu  0.250  0.362  0.724
Ac  0.250  0.691  0.381
Ac  0.750  0.309  0.619
In  0.750  0.057  0.114
Pd  0.500  0.694  0.000
In  0.250  0.943  0.886

---

Record 3
Computed, not measured: an optimized crystal structure of HoCd5Pd6 at the GGA-PBE level of DFT.

Summary:
Crystal system = monoclinic
Total moment = 0.00 μB/cell
Calculated formation energy = -0.5184 eV per atom

Cell: 4.373 7.502 6.932 Å, 90.00 71.72 90.00°
Atoms (fractional coordinates):
Cd  0.000  0.500  0.000
Cd  0.329  0.000  0.343
Cd  0.671  0.000  0.657
Pd  0.500  0.752  0.000
Cd  0.664  0.500  0.670
Ho  0.000  0.000  0.000
Pd  0.167  0.253  0.665
Pd  0.833  0.253  0.335
Pd  0.833  0.747  0.335
Pd  0.500  0.248  0.000
Pd  0.167  0.747  0.665
Cd  0.336  0.500  0.330

---

Record 4
Computed, not measured: an optimized crystal structure of GaPbN at the GGA-PBE level of DFT.

Summary:
E_form (uncorrected) = 2.75 eV per formula unit
Crystal system = tetragonal
Total moment = 2.20 μB/cell

Cell: 5.919 7.477 7.477 Å, 90.00 90.00 90.00°
Each line ends with the local moment (μB).
Atoms (fractional coordinates):
Ga  0.000  0.500  0.181  0.02
N  0.500  0.000  0.679  0.42
Pb  0.000  0.259  0.500  -0.02
Pb  0.500  0.500  0.741  -0.02
Ga  0.500  0.181  0.500  0.02
N  0.000  0.321  0.000  0.42
Pb  0.500  0.500  0.259  -0.02
N  0.000  0.679  0.000  0.42
N  0.500  0.000  0.321  0.42
Ga  0.500  0.819  0.500  0.02
Pb  0.000  0.741  0.500  -0.02
Ga  0.000  0.500  0.819  0.02

---

Record 5
Computed, not measured: an optimized crystal structure of AlGe3Pt at the GGA-PBE level of DFT.

Summary:
Crystal system = cubic
Total moment = 0.00 μB/cell
Calculated formation energy = 0.7503 eV per atom
Polymorph energy (0 for the lowest one) = 0.328 eV per atom

Cell: 4.757 4.757 4.757 Å, 90.00 90.00 90.00°
Atoms (fractional coordinates):
Ge  0.000  0.000  0.500
Pt  0.500  0.500  0.500
Al  0.000  0.000  0.000
Ge  0.000  0.500  0.000
Ge  0.500  0.000  0.000

---

Record 6
Computed, not measured: an optimized crystal structure of TmTiSbO6 at the GGA-PBE level of DFT.

Summary:
E_form (uncorrected) = -23.44 eV per formula unit
Crystal system = trigonal
Total moment = 0.00 μB/cell

Cell: 5.202 5.202 9.646 Å, 90.00 90.00 120.00°
Atoms (fractional coordinates):
O  0.356  0.997  0.137
Ti  0.667  0.333  0.750
Ti  0.333  0.667  0.250
O  0.359  0.356  0.863
O  0.359  0.003  0.637
O  0.644  0.003  0.863
Tm  0.000  0.000  0.500
O  0.003  0.644  0.363
O  0.997  0.641  0.863
O  0.356  0.359  0.363
Sb  0.667  0.333  0.250
O  0.644  0.641  0.637
O  0.641  0.644  0.137
O  0.997  0.356  0.637
Tm  0.000  0.000  0.000
O  0.641  0.997  0.363
O  0.003  0.359  0.137
Sb  0.333  0.667  0.750

---

Record 7
Computed, not measured: an optimized crystal structure of La4Au2I5 at the GGA-PBE level of DFT.

Summary:
E_form (uncorrected) = -12.31 eV per formula unit
Crystal system = monoclinic
Total moment = 0.00 μB/cell
Polymorph energy (0 for the lowest one) = 0.000 eV per atom

Cell: 4.159 8.947 12.952 Å, 89.15 99.24 90.00°
Atoms (fractional coordinates):
I  0.785  0.697  0.570
I  0.142  0.820  0.284
La  0.017  0.703  0.035
I  0.500  0.000  0.000
Au  0.555  0.471  0.110
La  0.665  0.547  0.330
I  0.858  0.180  0.716
La  0.983  0.297  0.965
I  0.215  0.303  0.430
La  0.335  0.453  0.670
Au  0.445  0.529  0.890

---

Record 8
Computed, not measured: an optimized crystal structure of Rb4PtI5 at the GGA-PBE level of DFT.

Summary:
E_form (uncorrected) = -9.81 eV per formula unit
Crystal system = tetragonal
Total moment = 1.00 μB/cell

Cell: 7.609 8.709 8.709 Å, 79.00 64.10 64.10°
Each line ends with the local moment (μB).
Atoms (fractional coordinates):
I  0.495  0.000  0.000  0.00
I  0.923  0.320  0.836  0.05
I  0.759  0.164  0.320  0.05
Rb  0.206  0.208  0.385  0.00
I  0.243  0.836  0.680  0.05
Rb  0.591  0.615  0.208  0.00
I  0.079  0.680  0.164  0.05
Pt  0.002  0.000  0.000  0.57
Rb  0.799  0.792  0.615  0.00
Rb  0.414  0.385  0.792  0.00

---

Record 9
Computed, not measured: an optimized crystal structure of MgAuNF2 at the GGA-PBE level of DFT.

Summary:
E_form (uncorrected) = -4.37 eV per formula unit
Crystal system = tetragonal
Total moment = 1.35 μB/cell
Polymorph energy (0 for the lowest one) = 0.000 eV per atom

Cell: 3.609 3.609 5.678 Å, 90.00 90.00 90.00°
Each line ends with the local moment (μB).
Atoms (fractional coordinates):
F  0.500  0.000  0.000  0.01
F  0.000  0.500  0.000  0.01
N  0.000  0.000  0.500  0.80
Au  0.500  0.500  0.500  0.15
Mg  0.000  0.000  0.000  0.00

---

Record 10
Computed, not measured: an optimized crystal structure of B2PSe at the GGA-PBE level of DFT.

Summary:
E_form (uncorrected) = 0.82 eV per formula unit
Crystal system = tetragonal
Total moment = 0.00 μB/cell
Polymorph energy (0 for the lowest one) = 0.000 eV per atom

Cell: 4.795 4.795 5.703 Å, 65.14 65.14 90.00°
Atoms (fractional coordinates):
Se  0.000  0.000  0.000
B  0.375  0.418  0.750
B  0.582  0.125  0.250
P  0.500  0.500  0.000
P  0.250  0.750  0.500
B  0.875  0.832  0.750
Se  0.750  0.250  0.500
B  0.168  0.625  0.250

---

Record 11
Computed, not measured: an optimized crystal structure of Ac2TbBi at the GGA-PBE level of DFT.

Summary:
Crystal system = trigonal
Total moment = 0.01 μB/cell
Calculated formation energy = 0.0913 eV per atom
Polymorph energy (0 for the lowest one) = 0.430 eV per atom

Cell: 3.722 3.722 13.010 Å, 81.78 81.78 60.00°
Atoms (fractional coordinates):
Bi  0.500  0.500  0.500
Ac  0.091  0.091  0.726
Tb  0.000  0.000  0.000
Ac  0.909  0.909  0.274

---

Record 12
Computed, not measured: an optimized crystal structure of TbThCoAu at the GGA-PBE level of DFT.

Summary:
Crystal system = cubic
Total moment = 0.00 μB/cell
Calculated formation energy = -0.3419 eV per atom

Cell: 5.042 5.042 5.042 Å, 60.00 60.00 60.00°
Atoms (fractional coordinates):
Tb  0.750  0.750  0.750
Au  0.000  0.000  0.000
Th  0.250  0.250  0.250
Co  0.500  0.500  0.500